## Pa2CrPN6 (PBE)

Data for an optimized crystal structure of Pa2CrPN6.

Calculated values
The calculation puts the density of states at the Fermi level at 2.907 states/eV per cell. Its formation energy from raw total energies is -817 meV per atom. The total magnetization comes out at 0.300 μB per atom. The value obtained for the total energy is -9.21 eV per atom. As for the crystal system: tetragonal.

Cell and atoms, written as POSCAR:
```
Pa2CrPN6
1.0
5.1524 0.0000 0.0000
0.0000 5.1524 0.0000
0.0000 0.0000 4.3089
Pa Cr P N
2 1 1 6
direct
0.0000 0.5000 0.0000
0.5000 0.0000 0.0000
0.0000 0.0000 0.5763
0.5000 0.5000 0.5525
0.0000 0.0000 0.1208
0.2682 0.2682 0.6676
0.2682 0.7318 0.6676
0.5000 0.5000 0.1724
0.7318 0.2682 0.6676
0.7318 0.7318 0.6676
```